P | # GaAuBr3

An optimized crystal structure of GaAuBr3 (GGA-PBE, the Alexandria database).

The structure in POSCAR format:
```
GaAuBr3
1.0
5.1893 0.0000 0.0000
0.0000 5.1893 0.0000
0.0000 0.0000 5.1893
Ga Au Br
1 1 3
Cartesian
0.0000 0.0000 0.0000
2.5946 2.5946 2.5946
0.0000 0.0000 2.5946
0.0000 2.5946 0.0000
2.5946 0.0000 0.0000
```

***

Q | # GaAuBr3

An optimized crystal structure of GaAuBr3 (GGA-PBE, the Alexandria database).

The structure in POSCAR format:
```
GaAuBr3
1.0
5.3535 0.0000 0.0000
0.0000 5.3535 0.0000
0.0000 0.0000 5.3535
Ga Au Br
1 1 3
Cartesian
0.0000 0.0000 0.0000
2.6768 2.6768 2.6768
0.0000 2.6768 2.6768
2.6768 0.0000 2.6768
2.6768 2.6768 0.0000
```

***

The structure with the greatest stability is Q.

***

P | # GaAuBr2

An optimized crystal structure of GaAuBr2 (GGA-PBE, the Alexandria database).

The structure in POSCAR format:
```
GaAuBr2
1.0
-3.2805 3.2805 6.7042
3.2805 -3.2805 6.7042
3.2805 3.2805 -6.7042
Ga Au Br
2 2 4
Cartesian
0.0000 0.0000 0.0000
0.0000 3.2805 3.3521
3.2805 0.0000 3.3521
0.0000 0.0000 6.7042
1.6402 -1.3514 5.0282
1.9291 1.6402 1.6761
1.6402 4.6318 -1.6761
1.3514 1.6402 8.3803
```

***

Q | # GaAuBr2

An optimized crystal structure of GaAuBr2 (GGA-PBE, the Alexandria database).

The structure in POSCAR format:
```
GaAuBr2
1.0
2.4313 1.4037 7.8377
-2.4313 1.4037 7.8377
0.0000 -2.8075 7.8377
Ga Au Br
1 1 2
Cartesian
0.0000 0.0000 0.0000
0.0000 0.0000 11.7565
0.0000 0.0000 9.3329
0.0000 0.0000 14.1801
```

***

The structure with the greatest stability is Q.

***

P | # ZrGa2AuBr

An optimized crystal structure of ZrGa2AuBr (GGA-PBE, the Alexandria database).

The structure in POSCAR format:
```
ZrGa2AuBr
1.0
4.8051 0.0000 0.0000
0.0000 4.8051 0.0000
0.0000 0.0000 5.7068
Zr Ga Au Br
1 2 1 1
Cartesian
0.0000 0.0000 0.0000
0.0000 2.4026 2.8534
2.4026 0.0000 2.8534
0.0000 0.0000 2.8534
2.4026 2.4026 0.0000
```

***

Q | # ZrGa2AuBr

An optimized crystal structure of ZrGa2AuBr (GGA-PBE, the Alexandria database).

The structure in POSCAR format:
```
ZrGa2AuBr
1.0
5.1808 0.0000 0.0000
0.0000 5.1808 0.0000
0.0000 0.0000 5.0053
Zr Ga Au Br
1 2 1 1
Cartesian
0.0000 0.0000 0.0000
0.0000 2.5904 2.5026
2.5904 0.0000 2.5026
2.5904 2.5904 0.0000
0.0000 0.0000 2.5026
```

***

The structure with the greatest stability is P.

***

P | # Gd2AuBr

An optimized crystal structure of Gd2AuBr (GGA-PBE, the Alexandria database).

The structure in POSCAR format:
```
Gd2AuBr
1.0
3.5283 0.0000 0.0000
0.0000 3.5283 0.0000
0.0000 0.0000 8.1746
Gd Au Br
2 1 1
Cartesian
0.0000 0.0000 1.8314
0.0000 0.0000 6.3432
1.7642 1.7642 0.0000
1.7642 1.7642 4.0873
```

***

Q | # Gd2AuBr

An optimized crystal structure of Gd2AuBr (GGA-PBE, the Alexandria database).

The structure in POSCAR format:
```
Gd2AuBr
1.0
2.0947 1.2094 7.5301
-2.0947 1.2094 7.5301
0.0000 -2.4188 7.5301
Gd Au Br
2 1 1
Cartesian
0.0000 0.0000 5.3868
0.0000 0.0000 17.2034
0.0000 0.0000 11.2951
0.0000 0.0000 0.0000
```

***

The structure with the greatest stability is Q.

***

P | # GeAuBr3

An optimized crystal structure of GeAuBr3 (GGA-PBE, the Alexandria database).

The structure in POSCAR format:
```
GeAuBr3
1.0
5.3097 0.0000 0.0000
0.0000 5.3097 0.0000
0.0000 0.0000 5.3097
Ge Au Br
1 1 3
Cartesian
0.0000 0.0000 0.0000
2.6549 2.6549 2.6549
0.0000 2.6549 2.6549
2.6549 0.0000 2.6549
2.6549 2.6549 0.0000
```

***

Q | # GeAuBr3

An optimized crystal structure of GeAuBr3 (GGA-PBE, the Alexandria database).

The structure in POSCAR format:
```
GeAuBr3
1.0
5.3255 0.0000 0.0000
0.0000 5.3255 0.0000
0.0000 0.0000 5.3255
Ge Au Br
1 1 3
Cartesian
0.0000 0.0000 0.0000
2.6628 2.6628 2.6628
0.0000 0.0000 2.6628
0.0000 2.6628 0.0000
2.6628 0.0000 0.0000
```

***

The structure with the greatest stability is Q.

***

P | # GeAu2Br

An optimized crystal structure of GeAu2Br (GGA-PBE, the Alexandria database).

The structure in POSCAR format:
```
GeAu2Br
1.0
0.0000 3.4775 3.4775
3.4775 0.0000 3.4775
3.4775 3.4775 0.0000
Ge Au Br
1 2 1
Cartesian
0.0000 0.0000 0.0000
1.7387 1.7387 1.7387
5.2162 5.2162 5.2162
3.4775 3.4775 3.4775
```

***

Q | # GeAu2Br

An optimized crystal structure of GeAu2Br (GGA-PBE, the Alexandria database).

The structure in POSCAR format:
```
GeAu2Br
1.0
-3.3944 3.3944 4.5766
3.3944 -3.3944 4.5766
3.3944 3.3944 -4.5766
Ge Au Br
2 4 2
Cartesian
0.0000 0.0000 0.0000
0.0000 3.3944 2.2883
5.0916 1.4155 -1.1441
1.4155 1.6972 1.1441
-1.6972 1.9789 3.4324
1.9789 1.6972 5.7207
3.3944 0.0000 2.2883
0.0000 0.0000 4.5766
```

***

The structure with the greatest stability is Q.

***

P | # GeAuBrN

An optimized crystal structure of GeAuBrN (GGA-PBE, the Alexandria database).

The structure in POSCAR format:
```
GeAuBrN
1.0
3.4066 0.0000 0.0000
1.2664 3.2158 0.0000
1.2964 -0.3949 7.2349
Ge Au Br N
1 1 1 1
Cartesian
0.0000 0.0000 0.0000
3.2770 0.3196 4.8418
1.7785 2.7536 2.5769
2.9570 0.7398 6.9007
```

***

Q | # GeAuBrN

An optimized crystal structure of GeAuBrN (GGA-PBE, the Alexandria database).

The structure in POSCAR format:
```
GeAuBrN
1.0
3.0875 0.0000 0.0000
-1.5435 2.6747 0.0000
-0.0462 -1.4983 9.7129
Ge Au Br N
1 1 1 1
Cartesian
0.0000 0.0000 0.0000
0.0011 -0.0016 2.4748
-0.0018 -0.0036 5.1278
1.4976 -0.6067 9.0565
```

***

R | # GeAuBrN

An optimized crystal structure of GeAuBrN (GGA-PBE, the Alexandria database).

The structure in POSCAR format:
```
GeAuBrN
1.0
7.1514 -1.5652 0.0000
7.1514 1.5652 0.0000
-0.5394 0.0000 3.7926
Ge Au Br N
1 1 1 1
Cartesian
0.0000 0.0000 0.0000
12.3560 0.0000 1.6677
10.2170 0.0000 3.2534
8.0437 0.0000 0.2449
```

***

The structure with the greatest stability is Q.

***

P | # HAuBr2

An optimized crystal structure of HAuBr2 (GGA-PBE, the Alexandria database).

The structure in POSCAR format:
```
HAuBr2
1.0
-2.8612 2.8612 5.2094
2.8612 -2.8612 5.2094
2.8612 2.8612 -5.2094
H Au Br
2 2 4
Cartesian
0.0000 0.0000 0.0000
0.0000 2.8612 2.6047
2.8612 0.0000 2.6047
0.0000 0.0000 5.2094
4.2918 0.9989 -1.3023
0.9989 1.4306 1.3023
-1.4306 1.8624 3.9070
1.8624 1.4306 6.5117
```

***

Q | # HAuBr2

An optimized crystal structure of HAuBr2 (GGA-PBE, the Alexandria database).

The structure in POSCAR format:
```
HAuBr2
1.0
1.8386 1.0615 7.4799
-1.8386 1.0615 7.4799
0.0000 -2.1230 7.4799
H Au Br
1 1 2
Cartesian
0.0000 0.0000 0.0000
0.0000 0.0000 11.2198
0.0000 0.0000 8.7895
0.0000 0.0000 13.6502
```

***

The structure with the greatest stability is P.

***

P | # HAu2Br

An optimized crystal structure of HAu2Br (GGA-PBE, the Alexandria database).

The structure in POSCAR format:
```
HAu2Br
1.0
0.0000 3.2834 3.2834
3.2834 0.0000 3.2834
3.2834 3.2834 0.0000
H Au Br
1 2 1
Cartesian
0.0000 0.0000 0.0000
1.6417 1.6417 1.6417
4.9251 4.9251 4.9251
3.2834 3.2834 3.2834
```

***

Q | # HAu2Br

An optimized crystal structure of HAu2Br (GGA-PBE, the Alexandria database).

The structure in POSCAR format:
```
HAu2Br
1.0
-2.7224 2.7224 4.9385
2.7224 -2.7224 4.9385
2.7224 2.7224 -4.9385
H Au Br
2 4 2
Cartesian
0.0000 0.0000 0.0000
0.0000 2.7224 2.4692
0.5632 1.3612 1.2346
-1.3612 2.1592 3.7039
-0.5632 4.0836 1.2346
1.3612 3.2856 3.7039
2.7224 0.0000 2.4692
0.0000 0.0000 4.9385
```

***

The structure with the greatest stability is Q.

***

P | # HfAuBr2

An optimized crystal structure of HfAuBr2 (GGA-PBE, the Alexandria database).

The structure in POSCAR format:
```
HfAuBr2
1.0
1.6495 0.9523 10.8673
-1.6495 0.9523 10.8673
0.0000 -1.9046 10.8673
Hf Au Br
1 1 2
Cartesian
0.0000 0.0000 0.0000
0.0000 0.0000 16.3009
0.0000 0.0000 12.8208
0.0000 0.0000 19.7811
```

***

Q | # HfAuBr2

An optimized crystal structure of HfAuBr2 (GGA-PBE, the Alexandria database).

The structure in POSCAR format:
```
HfAuBr2
1.0
0.0000 3.4771 3.4771
3.4771 0.0000 3.4771
3.4771 3.4771 0.0000
Hf Au Br
1 1 2
Cartesian
0.0000 0.0000 0.0000
3.4771 3.4771 3.4771
1.7385 1.7385 1.7385
5.2156 5.2156 5.2156
```

***

R | # HfAuBr2

An optimized crystal structure of HfAuBr2 (GGA-PBE, the Alexandria database).

The structure in POSCAR format:
```
HfAuBr2
1.0
1.7141 0.9897 12.3305
-1.7141 0.9897 12.3305
0.0000 -1.9793 12.3305
Hf Au Br
1 1 2
Cartesian
0.0000 0.0000 0.0000
0.0000 0.0000 18.4958
0.0000 0.0000 2.4551
0.0000 0.0000 34.5364
```

***

The structure with the greatest stability is P.

***

P | # HfAu2Br

An optimized crystal structure of HfAu2Br (GGA-PBE, the Alexandria database).

The structure in POSCAR format:
```
HfAu2Br
1.0
-4.0883 4.0883 2.7208
4.0883 -4.0883 2.7208
4.0883 4.0883 -2.7208
Hf Au Br
2 4 2
Cartesian
0.0000 0.0000 0.0000
0.0000 4.0883 1.3604
2.0442 1.7467 -0.6802
2.3416 -2.0442 3.4010
2.0442 2.3416 2.0406
1.7467 6.1325 0.6802
4.0883 0.0000 1.3604
0.0000 0.0000 2.7208
```

***

Q | # HfAu2Br

An optimized crystal structure of HfAu2Br (GGA-PBE, the Alexandria database).

The structure in POSCAR format:
```
HfAu2Br
1.0
0.0000 3.4631 3.4631
3.4631 0.0000 3.4631
3.4631 3.4631 0.0000
Hf Au Br
1 2 1
Cartesian
0.0000 0.0000 0.0000
1.7316 1.7316 1.7316
5.1947 5.1947 5.1947
3.4631 3.4631 3.4631
```

***

The structure with the greatest stability is P.

***

P | # HfAuSeBr2

An optimized crystal structure of HfAuSeBr2 (GGA-PBE, the Alexandria database).

The structure in POSCAR format:
```
HfAuSeBr2
1.0
5.1448 0.0000 0.0000
0.0000 5.1448 0.0000
0.0000 0.0000 5.2079
Hf Au Se Br
1 1 1 2
Cartesian
0.0000 0.0000 0.0000
2.5724 2.5724 2.6039
2.5724 2.5724 0.0000
0.0000 2.5724 2.6039
2.5724 0.0000 2.6039
```

***

Q | # HfAuSeBr2

An optimized crystal structure of HfAuSeBr2 (GGA-PBE, the Alexandria database).

The structure in POSCAR format:
```
HfAuSeBr2
1.0
5.2579 0.0000 0.0000
0.0000 5.2579 0.0000
0.0000 0.0000 5.1590
Hf Au Se Br
1 1 1 2
Cartesian
0.0000 0.0000 0.0000
2.6290 2.6290 2.5795
0.0000 0.0000 2.5795
0.0000 2.6290 0.0000
2.6290 0.0000 0.0000
```

***

The structure with the greatest stability is Q.

***

P | # HfAuSe2Br

An optimized crystal structure of HfAuSe2Br (GGA-PBE, the Alexandria database).

The structure in POSCAR format:
```
HfAuSe2Br
1.0
5.1111 0.0000 0.0000
0.0000 5.1111 0.0000
0.0000 0.0000 4.9606
Hf Au Se Br
1 1 2 1
Cartesian
0.0000 0.0000 0.0000
2.5555 2.5555 2.4803
0.0000 2.5555 2.4803
2.5555 0.0000 2.4803
2.5555 2.5555 0.0000
```

***

Q | # HfAuSe2Br

An optimized crystal structure of HfAuSe2Br (GGA-PBE, the Alexandria database).

The structure in POSCAR format:
```
HfAuSe2Br
1.0
5.1763 0.0000 0.0000
0.0000 5.1763 0.0000
0.0000 0.0000 5.2247
Hf Au Se Br
1 1 2 1
Cartesian
0.0000 0.0000 0.0000
2.5882 2.5882 2.6123
0.0000 2.5882 0.0000
2.5882 0.0000 0.0000
0.0000 0.0000 2.6123
```

***

The structure with the greatest stability is Q.